This record from the Alexandria database describes Ho3Sc6In after structural relaxation. The functional is PBE.

Cell and atoms, written as CIF:
```
data_Ho3Sc6In
_chemical_formula_sum 'Ho6 Sc12 In2'
_space_group_name_H-M_alt 'P 1'
_space_group_IT_number 1
_space_group_name_Hall 'P 1'
_cell_length_a 12.312
_cell_length_b 3.335
_cell_length_c 13.561
_cell_angle_alpha 90.00
_cell_angle_beta 108.81
_cell_angle_gamma 90.00
loop_
_atom_site_label
_atom_site_fract_x
_atom_site_fract_y
_atom_site_fract_z
_atom_site_occupancy
Ho1 0.010 0.250 0.395 1
Ho2 0.378 0.250 0.004 1
Ho3 0.467 0.250 0.598 1
Ho4 0.533 0.750 0.402 1
Ho5 0.622 0.750 0.996 1
Ho6 0.990 0.750 0.605 1
Sc1 0.139 0.750 0.019 1
Sc2 0.152 0.250 0.810 1
Sc3 0.218 0.250 0.601 1
Sc4 0.254 0.750 0.396 1
Sc5 0.326 0.250 0.217 1
Sc6 0.381 0.750 0.789 1
Sc7 0.619 0.250 0.211 1
Sc8 0.674 0.750 0.783 1
Sc9 0.746 0.250 0.604 1
Sc10 0.782 0.750 0.399 1
Sc11 0.848 0.750 0.190 1
Sc12 0.861 0.250 0.981 1
In1 0.073 0.250 0.189 1
In2 0.927 0.750 0.811 1
```

Values from the calculation:
Formation energy in eV per atom: -0.008
Symmetry: No. 11

---

This record from the Alexandria database describes Mg2ScPBr after structural relaxation. The functional is PBE.

Cell and atoms, written as CIF:
```
data_Mg2ScPBr
_chemical_formula_sum 'Mg2 Sc1 P1 Br1'
_space_group_name_H-M_alt 'P 1'
_space_group_IT_number 1
_space_group_name_Hall 'P 1'
_cell_length_a 5.062
_cell_length_b 5.062
_cell_length_c 5.123
_cell_angle_alpha 90.00
_cell_angle_beta 90.00
_cell_angle_gamma 90.00
loop_
_atom_site_label
_atom_site_fract_x
_atom_site_fract_y
_atom_site_fract_z
_atom_site_occupancy
Mg1 0.000 0.500 0.000 1
Mg2 0.500 0.000 0.000 1
Sc1 0.000 0.000 0.500 1
P1 0.500 0.500 0.500 1
Br1 0.500 0.500 0.000 1
```

Values from the calculation:
Symmetry: No. 123
Final energy in eV per atom: -2.811

---

This record from the Alexandria database describes MnMo2 after structural relaxation. The functional is PBE.

Cell and atoms, written as CIF:
```
data_MnMo2
_chemical_formula_sum 'Mn4 Mo8'
_space_group_name_H-M_alt 'P 1'
_space_group_IT_number 1
_space_group_name_Hall 'P 1'
_cell_length_a 5.261
_cell_length_b 4.301
_cell_length_c 7.674
_cell_angle_alpha 90.00
_cell_angle_beta 90.00
_cell_angle_gamma 90.00
loop_
_atom_site_label
_atom_site_fract_x
_atom_site_fract_y
_atom_site_fract_z
_atom_site_occupancy
Mn1 0.169 0.250 0.069 1
Mn2 0.331 0.750 0.569 1
Mn3 0.669 0.250 0.431 1
Mn4 0.831 0.750 0.931 1
Mo1 0.020 0.250 0.748 1
Mo2 0.176 0.250 0.414 1
Mo3 0.324 0.750 0.914 1
Mo4 0.480 0.750 0.248 1
Mo5 0.520 0.250 0.752 1
Mo6 0.676 0.250 0.086 1
Mo7 0.824 0.750 0.586 1
Mo8 0.980 0.750 0.252 1
```

Values from the calculation:
Formation energy in eV per atom: 0.172
Symmetry: No. 62

---

This record from the Alexandria database describes GdLuBi2 after structural relaxation. The functional is PBE.

Cell and atoms, written as CIF:
```
data_GdLuBi2
_chemical_formula_sum 'Gd1 Lu1 Bi2'
_space_group_name_H-M_alt 'P 1'
_space_group_IT_number 1
_space_group_name_Hall 'P 1'
_cell_length_a 5.793
_cell_length_b 5.793
_cell_length_c 3.446
_cell_angle_alpha 90.00
_cell_angle_beta 90.00
_cell_angle_gamma 90.00
loop_
_atom_site_label
_atom_site_fract_x
_atom_site_fract_y
_atom_site_fract_z
_atom_site_occupancy
Gd1 0.000 0.000 0.000 1
Lu1 0.500 0.500 0.000 1
Bi1 0.000 0.500 0.500 1
Bi2 0.500 0.000 0.500 1
```

Values from the calculation:
Formation energy in eV per atom: -0.599
Symmetry: No. 123

---

This record from the Alexandria database describes Ta2CrGa after structural relaxation. The functional is PBE.

Cell and atoms, written as CIF:
```
data_Ta2CrGa
_chemical_formula_sum 'Ta2 Cr1 Ga1'
_space_group_name_H-M_alt 'P 1'
_space_group_IT_number 1
_space_group_name_Hall 'P 1'
_cell_length_a 3.243
_cell_length_b 3.243
_cell_length_c 5.981
_cell_angle_alpha 90.00
_cell_angle_beta 90.00
_cell_angle_gamma 90.00
loop_
_atom_site_label
_atom_site_fract_x
_atom_site_fract_y
_atom_site_fract_z
_atom_site_occupancy
Ta1 0.000 0.000 0.239 1
Ta2 0.000 0.000 0.761 1
Cr1 0.500 0.500 0.000 1
Ga1 0.500 0.500 0.500 1
```

Values from the calculation:
Formation energy in eV per atom: -0.051
Symmetry: No. 123

---

This record from the Alexandria database describes Rb2AsPdF6 after structural relaxation. The functional is PBE.

Cell and atoms, written as CIF:
```
data_Rb2AsPdF6
_chemical_formula_sum 'Rb2 As1 Pd1 F6'
_space_group_name_H-M_alt 'P 1'
_space_group_IT_number 1
_space_group_name_Hall 'P 1'
_cell_length_a 6.509
_cell_length_b 6.509
_cell_length_c 6.509
_cell_angle_alpha 123.97
_cell_angle_beta 123.97
_cell_angle_gamma 83.25
loop_
_atom_site_label
_atom_site_fract_x
_atom_site_fract_y
_atom_site_fract_z
_atom_site_occupancy
Rb1 0.250 0.750 0.500 1
Rb2 0.750 0.250 0.500 1
As1 0.000 0.000 0.000 1
Pd1 0.500 0.500 0.000 1
F1 0.209 0.209 0.000 1
F2 0.240 0.240 0.480 1
F3 0.240 0.760 0.000 1
F4 0.760 0.240 0.000 1
F5 0.760 0.760 0.520 1
F6 0.791 0.791 0.000 1
```

Values from the calculation:
Symmetry: No. 139
Final energy in eV per atom: -4.345

---

This record from the Alexandria database describes BaInSe2 after structural relaxation. The functional is PBE.

Cell and atoms, written as CIF:
```
data_BaInSe2
_chemical_formula_sum 'Ba1 In1 Se2'
_space_group_name_H-M_alt 'P 1'
_space_group_IT_number 1
_space_group_name_Hall 'P 1'
_cell_length_a 5.380
_cell_length_b 5.380
_cell_length_c 3.924
_cell_angle_alpha 90.00
_cell_angle_beta 90.00
_cell_angle_gamma 90.00
loop_
_atom_site_label
_atom_site_fract_x
_atom_site_fract_y
_atom_site_fract_z
_atom_site_occupancy
Ba1 0.000 0.000 0.000 1
In1 0.500 0.500 0.000 1
Se1 0.000 0.500 0.500 1
Se2 0.500 0.000 0.500 1
```

Values from the calculation:
Symmetry: No. 123
Final energy in eV per atom: -3.905

---

This record from the Alexandria database describes Ho2CoPd after structural relaxation. The functional is PBE.

Cell and atoms, written as CIF:
```
data_Ho2CoPd
_chemical_formula_sum 'Ho2 Co1 Pd1'
_space_group_name_H-M_alt 'P 1'
_space_group_IT_number 1
_space_group_name_Hall 'P 1'
_cell_length_a 3.387
_cell_length_b 3.387
_cell_length_c 6.872
_cell_angle_alpha 90.00
_cell_angle_beta 90.00
_cell_angle_gamma 90.00
loop_
_atom_site_label
_atom_site_fract_x
_atom_site_fract_y
_atom_site_fract_z
_atom_site_occupancy
Ho1 0.000 0.000 0.237 1
Ho2 0.000 0.000 0.763 1
Co1 0.500 0.500 0.000 1
Pd1 0.500 0.500 0.500 1
```

Values from the calculation:
Formation energy in eV per atom: -0.552
Symmetry: No. 123

---

This record from the Alexandria database describes TaNiIr after structural relaxation. The functional is PBE.

Cell and atoms, written as CIF:
```
data_TaNiIr
_chemical_formula_sum 'Ta1 Ni1 Ir1'
_space_group_name_H-M_alt 'P 1'
_space_group_IT_number 1
_space_group_name_Hall 'P 1'
_cell_length_a 4.742
_cell_length_b 4.742
_cell_length_c 4.742
_cell_angle_alpha 143.69
_cell_angle_beta 135.63
_cell_angle_gamma 58.62
loop_
_atom_site_label
_atom_site_fract_x
_atom_site_fract_y
_atom_site_fract_z
_atom_site_occupancy
Ta1 0.000 0.000 0.000 1
Ni1 0.336 0.336 0.000 1
Ir1 0.668 0.668 0.000 1
```

Values from the calculation:
Formation energy in eV per atom: -0.438
Symmetry: No. 44

---

This record from the Alexandria database describes Tl2InW after structural relaxation. The functional is PBE.

Cell and atoms, written as CIF:
```
data_Tl2InW
_chemical_formula_sum 'Tl4 In2 W2'
_space_group_name_H-M_alt 'P 1'
_space_group_IT_number 1
_space_group_name_Hall 'P 1'
_cell_length_a 7.014
_cell_length_b 7.014
_cell_length_c 7.014
_cell_angle_alpha 99.17
_cell_angle_beta 99.17
_cell_angle_gamma 132.94
loop_
_atom_site_label
_atom_site_fract_x
_atom_site_fract_y
_atom_site_fract_z
_atom_site_occupancy
Tl1 0.027 0.125 0.402 1
Tl2 0.375 0.973 0.098 1
Tl3 0.723 0.625 0.598 1
Tl4 0.875 0.277 0.902 1
In1 0.250 0.750 0.500 1
In2 0.500 0.500 0.000 1
W1 0.000 0.000 0.000 1
W2 0.750 0.250 0.500 1
```

Values from the calculation:
Formation energy in eV per atom: 1.029
Symmetry: No. 122

---

This record from the Alexandria database describes LaMo2Pd after structural relaxation. The functional is PBE.

Cell and atoms, written as CIF:
```
data_LaMo2Pd
_chemical_formula_sum 'La2 Mo4 Pd2'
_space_group_name_H-M_alt 'P 1'
_space_group_IT_number 1
_space_group_name_Hall 'P 1'
_cell_length_a 11.021
_cell_length_b 11.021
_cell_length_c 11.021
_cell_angle_alpha 159.26
_cell_angle_beta 159.26
_cell_angle_gamma 29.50
loop_
_atom_site_label
_atom_site_fract_x
_atom_site_fract_y
_atom_site_fract_z
_atom_site_occupancy
La1 0.000 0.000 0.000 1
La2 0.750 0.250 0.500 1
Mo1 0.184 0.625 0.059 1
Mo2 0.375 0.434 0.559 1
Mo3 0.566 0.125 0.941 1
Mo4 0.875 0.816 0.441 1
Pd1 0.250 0.750 0.500 1
Pd2 0.500 0.500 0.000 1
```

Values from the calculation:
Formation energy in eV per atom: 0.452
Symmetry: No. 122

---

This record from the Alexandria database describes SnGeRh after structural relaxation. The functional is PBE.

Cell and atoms, written as CIF:
```
data_SnGeRh
_chemical_formula_sum 'Sn1 Ge1 Rh1'
_space_group_name_H-M_alt 'P 1'
_space_group_IT_number 1
_space_group_name_Hall 'P 1'
_cell_length_a 4.382
_cell_length_b 4.382
_cell_length_c 4.382
_cell_angle_alpha 60.00
_cell_angle_beta 60.00
_cell_angle_gamma 60.00
loop_
_atom_site_label
_atom_site_fract_x
_atom_site_fract_y
_atom_site_fract_z
_atom_site_occupancy
Sn1 0.000 0.000 0.000 1
Ge1 0.500 0.500 0.500 1
Rh1 0.250 0.250 0.250 1
```

Values from the calculation:
Formation energy in eV per atom: -0.327
Symmetry: No. 216

---

This record from the Alexandria database describes Pr5Er2TmSc after structural relaxation. The functional is PBE.

Cell and atoms, written as CIF:
```
data_Pr5Er2TmSc
_chemical_formula_sum 'Pr10 Er4 Tm2 Sc2'
_space_group_name_H-M_alt 'P 1'
_space_group_IT_number 1
_space_group_name_Hall 'P 1'
_cell_length_a 11.257
_cell_length_b 11.257
_cell_length_c 10.312
_cell_angle_alpha 90.00
_cell_angle_beta 90.00
_cell_angle_gamma 152.31
loop_
_atom_site_label
_atom_site_fract_x
_atom_site_fract_y
_atom_site_fract_z
_atom_site_occupancy
Pr1 0.000 0.000 0.000 1
Pr2 0.000 0.000 0.500 1
Pr3 0.128 0.872 0.750 1
Pr4 0.221 0.779 0.063 1
Pr5 0.221 0.779 0.438 1
Pr6 0.500 0.500 0.250 1
Pr7 0.500 0.500 0.750 1
Pr8 0.779 0.221 0.563 1
Pr9 0.779 0.221 0.938 1
Pr10 0.872 0.128 0.250 1
Er1 0.385 0.615 0.504 1
Er2 0.385 0.615 0.996 1
Er3 0.615 0.385 0.004 1
Er4 0.615 0.385 0.496 1
Tm1 0.102 0.898 0.250 1
Tm2 0.898 0.102 0.750 1
Sc1 0.289 0.711 0.751 1
Sc2 0.711 0.289 0.251 1
```

Values from the calculation:
Formation energy in eV per atom: 0.125
Symmetry: No. 36